A plane-wave DFT calculation with GGA-PBE was carried out for a relaxed structure of Be2AgPt.

The calculation puts the offset from the most stable computed form at 213 meV per atom. Its formation energy is -0.4 eV per formula unit.

Cell: 7.7195 7.7195 7.7195 Å, 21.08 21.08 21.08°
Fractional positions:
Be 0.9942 0.9942 0.9942
Be 0.5058 0.5058 0.5058
Ag 0.7500 0.7500 0.7500
Pt 0.2500 0.2500 0.2500